Below is a relaxed Re2Ni11 crystal, with properties calculated at the PBE level. Values from VASP.

Geometry as Quantum ESPRESSO input:
```
&SYSTEM
  ibrav = 0, nat = 13, ntyp = 2
/
ATOMIC_SPECIES
Re 186.21 Re.upf
Ni 58.69 Ni.upf
ATOMIC_POSITIONS crystal
Re 0.1508 0.1508 0.1508
Re 0.8492 0.8492 0.8492
Ni 0.0468 0.0468 0.0468
Ni 0.0846 0.5881 0.5881
Ni 0.3331 0.3331 0.3331
Ni 0.4119 0.4119 0.9154
Ni 0.4119 0.9154 0.4119
Ni 0.5000 0.5000 0.5000
Ni 0.5881 0.0846 0.5881
Ni 0.5881 0.5881 0.0846
Ni 0.6669 0.6669 0.6669
Ni 0.9154 0.4119 0.4119
Ni 0.9532 0.9532 0.9532
CELL_PARAMETERS angstrom
2.2978 1.3266 8.0791
-2.2978 1.3266 8.0791
0.0000 -2.6532 8.0791
```

Values from the calculation:
Space group: R-3m
Formation enthalpy at 0 K: 1.4 eV per formula unit
Excess energy over the best structure of this formula in the dataset: 0.14 kcal/mol of atoms

Below is a relaxed Nb2SiAg crystal, with properties calculated at the PBE level. Values from VASP.

Geometry as Quantum ESPRESSO input:
```
&SYSTEM
  ibrav = 0, nat = 4, ntyp = 3
/
ATOMIC_SPECIES
Nb 92.91 Nb.upf
Si 28.09 Si.upf
Ag 107.87 Ag.upf
ATOMIC_POSITIONS crystal
Nb 0.0000 0.0000 0.0000
Nb 0.2500 0.2500 0.2500
Si 0.5000 0.5000 0.5000
Ag 0.7500 0.7500 0.7500
CELL_PARAMETERS angstrom
0.0000 3.2345 3.2345
3.2345 0.0000 3.2345
3.2345 3.2345 0.0000
```

Values from the calculation:
Space group: F-43m

Below is a relaxed Ac2Zr2O5 crystal, with properties calculated at the PBE level. Values from VASP.

Geometry as Quantum ESPRESSO input:
```
&SYSTEM
  ibrav = 0, nat = 9, ntyp = 3
/
ATOMIC_SPECIES
Ac 227.00 Ac.upf
Zr 91.22 Zr.upf
O 16.00 O.upf
ATOMIC_POSITIONS crystal
Ac 0.0000 0.0000 0.0000
Ac 0.0000 0.0000 0.5000
Zr 0.5000 0.5000 0.2221
Zr 0.5000 0.5000 0.7779
O 0.0000 0.5000 0.2556
O 0.0000 0.5000 0.7444
O 0.5000 0.0000 0.2556
O 0.5000 0.0000 0.7444
O 0.5000 0.5000 0.5000
CELL_PARAMETERS angstrom
4.2351 0.0000 0.0000
0.0000 4.2351 0.0000
0.0000 0.0000 7.7455
```

Values from the calculation:
Space group: P4/mmm
Excess energy over the best structure of this formula in the dataset: 0.00 kcal/mol of atoms

Below is a relaxed LiPmW crystal, with properties calculated at the PBE level. Values from VASP.

Geometry as Quantum ESPRESSO input:
```
&SYSTEM
  ibrav = 0, nat = 3, ntyp = 3
/
ATOMIC_SPECIES
Li 6.94 Li.upf
Pm 145.00 Pm.upf
W 183.84 W.upf
ATOMIC_POSITIONS crystal
Li 0.0000 0.0000 0.0000
Pm 0.2500 0.2500 0.2500
W 0.5000 0.5000 0.5000
CELL_PARAMETERS angstrom
0.0000 3.3477 3.3477
3.3477 0.0000 3.3477
3.3477 3.3477 0.0000
```

Values from the calculation:
Space group: F-43m
Excess energy over the best structure of this formula in the dataset: 8.53 kcal/mol of atoms

Below is a relaxed Ta2Si3W4C3 crystal, with properties calculated at the PBE level. Values from VASP.

Geometry as Quantum ESPRESSO input:
```
&SYSTEM
  ibrav = 0, nat = 24, ntyp = 4
/
ATOMIC_SPECIES
Ta 180.95 Ta.upf
Si 28.09 Si.upf
W 183.84 W.upf
C 12.01 C.upf
ATOMIC_POSITIONS crystal
Ta 0.0345 0.8656 0.6038
Ta 0.1344 0.9655 0.8962
Ta 0.8656 0.0345 0.1038
Ta 0.9655 0.1344 0.3962
Si 0.0834 0.2786 0.7492
Si 0.2786 0.0834 0.2492
Si 0.4443 0.5557 0.7500
Si 0.5557 0.4443 0.2500
Si 0.7214 0.9166 0.7508
Si 0.9166 0.7214 0.2508
W 0.1966 0.3651 0.0902
W 0.3059 0.4685 0.4094
W 0.3651 0.1966 0.5902
W 0.4685 0.3059 0.9094
W 0.5315 0.6941 0.0906
W 0.6349 0.8034 0.4098
W 0.6941 0.5315 0.5906
W 0.8034 0.6349 0.9098
C 0.0000 0.5000 0.5000
C 0.1605 0.6790 0.9998
C 0.3210 0.8395 0.5002
C 0.5000 0.0000 0.0000
C 0.6790 0.1605 0.4998
C 0.8395 0.3210 0.0002
CELL_PARAMETERS angstrom
4.7221 -2.7345 0.0000
4.7221 2.7345 0.0000
-3.1470 0.0000 12.3338
```

Values from the calculation:
Space group: C2/c

Below is a relaxed BiAu crystal, with properties calculated at the PBE level. Values from VASP.

Geometry as Quantum ESPRESSO input:
```
&SYSTEM
  ibrav = 0, nat = 2, ntyp = 2
/
ATOMIC_SPECIES
Bi 208.98 Bi.upf
Au 196.97 Au.upf
ATOMIC_POSITIONS crystal
Bi 0.0000 0.0000 0.0000
Au 0.5000 0.5000 0.5000
CELL_PARAMETERS angstrom
0.0000 2.9628 2.9628
2.9628 0.0000 2.9628
2.9628 2.9628 0.0000
```

Values from the calculation:
Space group: Fm-3m

Below is a relaxed PuAlIr crystal, with properties calculated at the PBE level. Values from VASP.

Geometry as Quantum ESPRESSO input:
```
&SYSTEM
  ibrav = 0, nat = 3, ntyp = 3
/
ATOMIC_SPECIES
Pu 244.00 Pu.upf
Al 26.98 Al.upf
Ir 192.22 Ir.upf
ATOMIC_POSITIONS crystal
Pu 0.0000 0.0000 0.0000
Al 0.5000 0.5000 0.5000
Ir 0.7500 0.7500 0.7500
CELL_PARAMETERS angstrom
0.0000 3.2154 3.2154
3.2154 0.0000 3.2154
3.2154 3.2154 0.0000
```

Values from the calculation:
Space group: F-43m

Below is a relaxed NaAl4CuSe2 crystal, with properties calculated at the PBE level. Values from VASP.

Geometry as Quantum ESPRESSO input:
```
&SYSTEM
  ibrav = 0, nat = 8, ntyp = 4
/
ATOMIC_SPECIES
Na 22.99 Na.upf
Al 26.98 Al.upf
Cu 63.55 Cu.upf
Se 78.96 Se.upf
ATOMIC_POSITIONS crystal
Na 0.0000 0.0000 0.0000
Al 0.1558 0.1232 0.7099
Al 0.4133 0.4459 0.2901
Al 0.5541 0.8442 0.9674
Al 0.8768 0.5867 0.0326
Cu 0.2500 0.7500 0.5000
Se 0.5000 0.5000 0.0000
Se 0.7500 0.2500 0.5000
CELL_PARAMETERS angstrom
-3.1890 3.1890 5.1238
3.1890 -3.1890 5.1238
3.1890 3.1890 -5.1238
```

Values from the calculation:
Space group: I-4

Below is a relaxed ZrTlNiHg crystal, with properties calculated at the PBE level. Values from VASP.

Geometry as Quantum ESPRESSO input:
```
&SYSTEM
  ibrav = 0, nat = 4, ntyp = 4
/
ATOMIC_SPECIES
Zr 91.22 Zr.upf
Tl 204.38 Tl.upf
Ni 58.69 Ni.upf
Hg 200.59 Hg.upf
ATOMIC_POSITIONS crystal
Zr 0.0000 0.0000 0.0000
Tl 0.5000 0.5000 0.5000
Ni 0.7500 0.7500 0.7500
Hg 0.2500 0.2500 0.2500
CELL_PARAMETERS angstrom
0.0000 3.4065 3.4065
3.4065 0.0000 3.4065
3.4065 3.4065 0.0000
```

Values from the calculation:
Space group: F-43m

Below is a relaxed Er2TmCo2B2P3 crystal, with properties calculated at the PBE level. Values from VASP.

Geometry as Quantum ESPRESSO input:
```
&SYSTEM
  ibrav = 0, nat = 10, ntyp = 5
/
ATOMIC_SPECIES
Er 167.26 Er.upf
Tm 168.93 Tm.upf
Co 58.93 Co.upf
B 10.81 B.upf
P 30.97 P.upf
ATOMIC_POSITIONS crystal
Er 0.1377 0.1377 0.0000
Er 0.8623 0.8623 0.0000
Tm 0.5000 0.5000 0.0000
Co 0.2500 0.7500 0.5000
Co 0.7500 0.2500 0.5000
B 0.2857 0.2857 0.0000
B 0.7143 0.7143 0.0000
P 0.0000 0.0000 0.0000
P 0.3763 0.3763 0.0000
P 0.6237 0.6237 0.0000
CELL_PARAMETERS angstrom
-1.9119 1.9119 10.8746
1.9119 -1.9119 10.8746
1.9119 1.9119 -10.8746
```

Values from the calculation:
Space group: I4/mmm

no.,calculated total energy (eV per atom)
1,-6.513
2,-6.783
3,-8.383
4,-4.890
5,-10.097
6,-3.675
7,-9.365
8,-3.391
9,-4.086
10,-6.633